Entry 1:
Entry from Alexandria via LeMat-Bulk: a geometry-optimized La2MnAl structure (GGA-PBEsol).

Cell lengths 3.718, 3.718, 7.299 Å; angles 90.00, 90.00, 90.00 degrees
Space group P4/mmm (No. 123)
Inequivalent atoms, fractional coordinates:
La: 0.000 0.000 0.241 x2
Mn: 0.500 0.500 0.000 x1
Al: 0.500 0.500 0.500 x1

Results
The final energy is -24.179 eV per cell. The value obtained for the formation energy is 0.0915 eV per atom. The calculation puts the density of states at the Fermi level at 4.31 states/eV/cell.

Entry 2:
Entry from Alexandria via LeMat-Bulk: a geometry-optimized La2IrCl structure (GGA-PBEsol).

Cell lengths 4.1096, 4.1096, 22.3625 Å; angles 90.00, 90.00, 120.00 degrees
Space group R-3m (No. 166, hexagonal axes)
Inequivalent atoms, fractional coordinates:
La: 0.0000 0.0000 0.2360 x6
Ir: 0.0000 0.0000 0.5000 x3
Cl: 0.0000 0.0000 0.0000 x3

Results
The final energy is -82.963 eV per cell. The calculation puts the energy above the most stable polymorph in this dataset at 0.000 eV per atom. The calculation puts the density of states at the Fermi level at 3.68 states/eV/cell. For the formation energy from raw total energies, the calculation gives -1.2826 eV per atom.

Entry 3:
Entry from Alexandria via LeMat-Bulk: a geometry-optimized TaNiCl structure (GGA-PBEsol).

Cell lengths 4.1783, 4.1783, 2.8818 Å; angles 90.00, 90.00, 120.00 degrees
Space group P-6m2 (No. 187)
Inequivalent atoms, fractional coordinates:
Ta: 0.0000 0.0000 0.0000 x1
Ni: 0.6667 0.3333 0.5000 x1
Cl: 0.3333 0.6667 0.0000 x1

Results
The final energy is -20.099 eV per cell. The calculation puts the energy above the most stable polymorph in this dataset at 0.000 eV per atom. The calculation puts the density of states at the Fermi level at 2.11 states/eV/cell. For the formation energy from raw total energies, the calculation gives 0.2059 eV per atom.

What did the first record say?
Entry from Alexandria via LeMat-Bulk: a geometry-optimized La2MnAl structure (GGA-PBEsol).

Cell lengths 3.718, 3.718, 7.299 Å; angles 90.00, 90.00, 90.00 degrees
Space group P4/mmm (No. 123)
Inequivalent atoms, fractional coordinates:
La: 0.000 0.000 0.241 x2
Mn: 0.500 0.500 0.000 x1
Al: 0.500 0.500 0.500 x1

Results
The final energy is -24.179 eV per cell. The value obtained for the formation energy is 0.0915 eV per atom. The calculation puts the density of states at the Fermi level at 4.31 states/eV/cell.